Computed, not measured: LiY4Al2Ag after structural relaxation at the PBE-GGA level of DFT.

Summary:
DOS(E_F), states/eV/f.u.: 6.06
Total magnetic moment, μB per atom: 0.00
ΔE_f, eV/atom: -0.32

a b c (Å): 5.1615 5.1615 25.3270
angles (deg): 90.00 90.00 120.00
Space group R-3m (No. 166, hexagonal axes)
Inequivalent atoms, fractional coordinates:
Li: 0.0000 0.0000 0.0000
Y: 0.0000 0.0000 0.1260
Y: 0.0000 0.0000 0.3763
Al: 0.0000 0.0000 0.2537
Ag: 0.0000 0.0000 0.5000


Computed, not measured: Li3AlZn2Ag3 after structural relaxation at the PBE-GGA level of DFT.

Summary:
DOS(E_F), states/eV/f.u.: 2.71
Total magnetic moment, μB per atom: 0.00
ΔE_f, eV/atom: -0.17

a b c (Å): 7.6091 7.6091 2.8334
angles (deg): 90.00 90.00 120.00
Space group P-62m (No. 189)
Inequivalent atoms, fractional coordinates:
Li: 0.0000 0.6855 0.0000
Al: 0.0000 0.0000 0.5000
Zn: 0.3333 0.6667 0.0000
Ag: 0.0000 0.3539 0.5000


Computed, not measured: Li3Al2Zn3Ag after structural relaxation at the PBE-GGA level of DFT.

Summary:
DOS(E_F), states/eV/f.u.: 3.43
Total magnetic moment, μB per atom: 0.00
ΔE_f, eV/atom: -0.13

a b c (Å): 7.6763 7.6763 2.7333
angles (deg): 90.00 90.00 120.00
Space group P-62m (No. 189)
Inequivalent atoms, fractional coordinates:
Li: 0.0000 0.7006 0.0000
Al: 0.3333 0.6667 0.0000
Zn: 0.0000 0.3628 0.5000
Ag: 0.0000 0.0000 0.5000


Computed, not measured: LiAlZn2Ag after structural relaxation at the PBE-GGA level of DFT.

Summary:
DOS(E_F), states/eV/f.u.: 1.14
Total magnetic moment, μB per atom: 0.00
ΔE_f, eV/atom: -0.07

a b c (Å): 4.275 9.258 8.389
angles (deg): 90.00 90.00 90.00
Space group Cmcm (No. 63)
Inequivalent atoms, fractional coordinates:
Li: 0.000 0.049 0.250
Al: 0.000 0.500 0.000
Zn: 0.000 0.189 0.556
Ag: 0.000 0.337 0.250


Computed, not measured: Li2AlZn4Ag2 after structural relaxation at the PBE-GGA level of DFT.

Summary:
DOS(E_F), states/eV/f.u.: 3.70
Total magnetic moment, μB per atom: 0.00
ΔE_f, eV/atom: 0.12

a b c (Å): 6.005 6.005 8.667
angles (deg): 90.00 90.00 90.00
Space group I4/mmm (No. 139)
Inequivalent atoms, fractional coordinates:
Li: 0.000 0.000 0.214
Al: 0.000 0.000 0.500
Zn: 0.216 0.216 0.000
Ag: 0.000 0.500 0.250


Computed, not measured: LiAl2Zn2Ag4 after structural relaxation at the PBE-GGA level of DFT.

Summary:
DOS(E_F), states/eV/f.u.: 2.22
Total magnetic moment, μB per atom: 0.00
ΔE_f, eV/atom: -0.10

a b c (Å): 14.346 2.972 7.429
angles (deg): 90.00 112.38 90.00
Space group C2/m (No. 12)
Inequivalent atoms, fractional coordinates:
Li: 0.000 0.000 0.000
Al: 0.139 0.000 0.660
Zn: 0.168 0.500 0.990
Ag: 0.020 0.500 0.324
Ag: 0.192 0.000 0.318